[1]
Ba2TcSe | GGA-PBE | optimized geometry

Structure (extended XYZ):
```
4
Lattice="6.470 0.018 -0.008 4.959 4.157 -0.008 -0.470 -0.172 5.036" Properties=species:S:1:pos:R:3 pbc="T T T"
Tc 3.284 1.200 0.938
Ba 8.148 2.976 3.202
Ba 0.076 0.028 0.513
Se 4.930 1.801 2.877
```

Results
- DOS at the Fermi energy: 3.430 states/eV per cell
- Space-group type: No. 8

[2]
BaTc2Se | GGA-PBE | optimized geometry

Structure (extended XYZ):
```
4
Lattice="-4.068 -2.066 -1.873 2.669 -3.829 -1.594 0.144 1.302 4.755" Properties=species:S:1:pos:R:3 pbc="T T T"
Se -2.312 -1.856 0.574
Ba -0.700 -2.948 -1.734
Tc 0.000 0.000 0.000
Tc 1.057 -2.737 0.714
```

Results
- DOS at the Fermi energy: 2.458 states/eV per cell
- Space-group type: No. 216

[3]
Ba2TcSe | GGA-PBE | optimized geometry

Structure (extended XYZ):
```
4
Lattice="9.049 -0.001 -0.001 7.981 4.265 -0.001 7.981 1.998 3.768" Properties=species:S:1:pos:R:3 pbc="T T T"
Ba 1.030 0.258 0.155
Ba 5.222 1.307 0.786
Tc 19.806 4.958 2.982
Se 11.460 2.869 1.726
```

Results
- DOS at the Fermi energy: 5.463 states/eV per cell
- Space-group type: No. 160

[4]
BaTcSe | GGA-PBE | optimized geometry

Structure (extended XYZ):
```
3
Lattice="5.011 0.000 0.000 2.505 4.339 0.000 2.505 1.446 4.091" Properties=species:S:1:pos:R:3 pbc="T T T"
Se 7.516 4.339 3.068
Ba 5.011 2.893 2.046
Tc 0.000 0.000 0.000
```

Results
- DOS at the Fermi energy: 3.741 states/eV per cell
- Relative energy among the computed polymorphs: 564 meV per atom
- Space-group type: No. 216

[5]
BaTcSe2 | GGA-PBE | optimized geometry

Structure (extended XYZ):
```
4
Lattice="-0.471 3.786 -0.056 -3.927 -0.514 -1.664 -2.796 -0.253 6.442" Properties=species:S:1:pos:R:3 pbc="T T T"
Tc -1.917 1.701 1.167
Se -2.390 -0.257 2.753
Ba -5.278 1.318 3.556
Se -0.971 -0.126 -0.364
```

Results
- DOS at the Fermi energy: 1.546 states/eV per cell
- Relative energy among the computed polymorphs: 146 meV per atom
- Space-group type: No. 10

[6]
BaTcSe2 | GGA-PBE | optimized geometry

Structure (extended XYZ):
```
4
Lattice="6.558 -0.012 0.039 5.128 4.088 0.039 1.377 0.480 4.027" Properties=species:S:1:pos:R:3 pbc="T T T"
Tc 6.073 2.118 2.798
Se 4.353 1.518 1.180
Se 1.167 0.407 2.398
Ba 9.378 3.271 3.808
```

Results
- DOS at the Fermi energy: 2.848 states/eV per cell
- Relative energy among the computed polymorphs: 4 meV per atom
- Space-group type: No. 44

[7]
BaV2TcSe | GGA-PBE | optimized geometry

Structure (extended XYZ):
```
5
Lattice="4.772 0.000 0.000 0.000 5.290 0.000 0.000 0.000 4.772" Properties=species:S:1:pos:R:3 pbc="T T T"
Tc 0.000 0.000 0.000
V 2.386 0.000 0.000
Se 0.000 2.645 0.000
Ba 2.386 2.645 2.386
V 0.000 0.000 2.386
```

Results
- DOS at the Fermi energy: 4.540 states/eV per cell
- Space-group type: No. 123

[8]
BaZn2TcSe | GGA-PBE | optimized geometry

Structure (extended XYZ):
```
5
Lattice="-4.723 -1.708 0.082 0.266 -1.026 -6.053 1.696 -4.648 0.862" Properties=species:S:1:pos:R:3 pbc="T T T"
Se 0.000 0.000 0.000
Ba 0.133 -0.513 -3.027
Zn -2.361 -0.854 0.041
Tc -1.380 -3.691 -2.555
Zn 0.848 -2.324 0.431
```

Results
- DOS at the Fermi energy: 4.970 states/eV per cell
- Space-group type: No. 123

[9]
BaZr2TcSe | GGA-PBE | optimized geometry

Structure (extended XYZ):
```
5
Lattice="4.922 0.000 0.000 0.000 6.152 0.000 0.000 0.000 4.922" Properties=species:S:1:pos:R:3 pbc="T T T"
Se 0.000 3.076 0.000
Ba 2.461 3.076 2.461
Zr 0.000 0.000 2.461
Tc 0.000 0.000 0.000
Zr 2.461 0.000 0.000
```

Results
- DOS at the Fermi energy: 5.525 states/eV per cell
- Space-group type: No. 123

[10]
BaTeSe2 | GGA-PBE | optimized geometry

Structure (extended XYZ):
```
4
Lattice="-4.055 4.500 1.657 -5.390 2.492 -2.043 -2.498 -3.228 2.652" Properties=species:S:1:pos:R:3 pbc="T T T"
Te -6.343 1.523 1.462
Ba -2.902 1.513 0.226
Se -9.683 6.533 -0.052
Se -8.432 3.068 1.377
```

Results
- DOS at the Fermi energy: 1.501 states/eV per cell
- Space-group type: No. 38

[11]
Ba3TeSe4 | GGA-PBE | optimized geometry

Structure (extended XYZ):
```
16
Lattice="6.492 0.000 0.000 0.000 10.036 0.000 0.000 0.000 10.828" Properties=species:S:1:pos:R:3 pbc="T T T"
Se 0.435 8.487 0.000
Se 3.642 6.762 8.263
Ba 0.404 6.544 2.448
Ba 0.404 6.544 8.380
Se 4.067 2.201 0.000
Ba 3.650 3.492 2.966
Se 0.821 7.835 5.414
Ba 3.689 8.883 0.000
Te 3.292 6.973 5.414
Se 0.396 3.274 2.849
Se 0.396 3.274 7.979
Se 3.642 6.762 2.565
Ba 3.650 3.492 7.863
Te 0.046 3.062 0.000
Ba 0.443 1.153 5.414
Se 3.681 1.549 5.414
```

Results
- Space-group type: No. 31

[12]
Ba5Te4Se | GGA-PBE | optimized geometry

Structure (extended XYZ):
```
10
Lattice="-1.505 -0.556 4.676 3.395 -6.131 0.363 9.231 9.215 1.455" Properties=species:S:1:pos:R:3 pbc="T T T"
Te 7.110 0.213 4.927
Ba 5.328 3.230 4.712
Ba 1.698 -3.066 0.182
Se 0.000 0.000 0.000
Te 4.012 2.315 1.567
Te 2.972 -2.175 3.311
Te 8.150 4.702 3.183
Ba 5.794 -0.702 1.781
Ba 9.968 1.705 3.411
Ba 1.154 0.822 3.082
```

Results
- DOS at the Fermi energy: 0.000 states/eV per cell
- Space-group type: No. 71

[13]
Ba7Te5Se | GGA-PBE | optimized geometry

Structure (extended XYZ):
```
26
Lattice="-2.984 -3.806 -0.585 7.990 -3.019 -0.826 0.998 -5.198 28.718" Properties=species:S:1:pos:R:3 pbc="T T T"
Ba 3.195 -8.476 18.555
Ba 1.999 -5.472 25.390
Ba 0.104 -6.445 21.106
Te 4.021 -4.943 11.642
Te 0.504 -2.603 14.358
Ba 1.722 -4.008 17.289
Ba 4.291 -8.022 10.017
Te -0.683 -3.182 3.898
Ba 5.257 -6.373 14.640
Te 6.689 -8.844 23.410
Te 1.007 -5.202 28.697
Ba 5.674 -8.572 26.820
Ba 3.321 -9.191 22.570
Ba 0.340 -3.458 0.482
Se 2.534 -6.065 6.245
Te 1.994 -7.091 15.674
Ba 2.816 -3.555 8.763
Te 2.337 -8.921 25.825
Te 6.507 -7.817 17.665
Te -0.500 -4.207 9.637
Se 3.470 -5.960 21.069
Ba 0.758 -5.660 12.671
Te 3.674 -3.110 1.492
Ba 4.025 -6.562 1.882
Ba 2.685 -2.834 4.745
Ba 5.899 -5.577 6.196
```

Results
- DOS at the Fermi energy: 7.993 states/eV per cell
- Space-group type: No. 8

[14]
Ba2TeSe | GGA-PBE | optimized geometry

Structure (extended XYZ):
```
8
Lattice="7.705 0.000 0.000 0.000 7.705 0.000 3.852 3.852 7.363" Properties=species:S:1:pos:R:3 pbc="T T T"
Se 3.852 7.705 3.681
Ba 5.597 1.926 1.841
Ba 2.108 5.779 1.841
Te 7.705 3.852 3.681
Ba 9.631 9.449 5.522
Ba 5.779 5.960 5.522
Se 3.852 3.852 0.000
Te 0.000 0.000 0.000
```

Results
- DOS at the Fermi energy: 0.000 states/eV per cell
- Relative energy among the computed polymorphs: 248 meV per atom
- Space-group type: No. 122

| no. | uncorrected formation energy (eV per atom) |
| --- | --- |
| 1 | -0.155 |
| 2 | 0.858 |
| 3 | -0.246 |
| 4 | 0.343 |
| 5 | -0.587 |
| 6 | -0.729 |
| 7 | 0.373 |
| 8 | 0.792 |
| 9 | 0.192 |
| 10 | -0.911 |
| 11 | -1.397 |
| 12 | -1.833 |
| 13 | -1.727 |
| 14 | -1.662 |